A plane-wave DFT calculation with PBE-GGA was carried out for a relaxed structure of Ta2Os2Se.

Properties
- E above lowest polymorph: 0.000 eV per atom
- Formation energy from raw total energies: 0.040 eV/atom
- SG: P4/mbm (127)
- DOS(E_F): 1.7 states/eV/f.u.

Cell lengths 7.664, 7.664, 3.005 Å; angles 90.00, 90.00, 90.00 degrees
Fractional coordinates of all 10 atoms:
Ta 0.152 0.348 0.000
Ta 0.348 0.848 0.000
Ta 0.652 0.152 0.000
Ta 0.848 0.652 0.000
Os 0.138 0.638 0.500
Os 0.362 0.138 0.500
Os 0.638 0.862 0.500
Os 0.862 0.362 0.500
Se 0.000 0.000 0.500
Se 0.500 0.500 0.500

---

A plane-wave DFT calculation with PBE-GGA was carried out for a relaxed structure of TaOs2Se.

Properties
- Formation energy from raw total energies: 0.223 eV/atom
- SG: Amm2 (38)
- DOS(E_F): 2.9 states/eV/f.u.

Cell lengths 4.032, 2.901, 10.697 Å; angles 90.00, 90.00, 90.00 degrees
Fractional coordinates of all 8 atoms:
Ta 0.000 0.000 0.000
Ta 0.000 0.500 0.500
Os 0.000 0.000 0.255
Os 0.000 0.500 0.755
Os 0.500 0.000 0.631
Os 0.500 0.500 0.131
Se 0.500 0.000 0.394
Se 0.500 0.500 0.894

---

A plane-wave DFT calculation with PBE-GGA was carried out for a relaxed structure of TaOsSe.

Properties
- E above lowest polymorph: 0.075 eV per atom
- Formation energy from raw total energies: 0.127 eV/atom
- SG: P3m1 (156)
- DOS(E_F): 1.6 states/eV/f.u.

Cell lengths 3.293, 3.293, 6.084 Å; angles 90.00, 90.00, 120.00 degrees
Fractional coordinates of all 3 atoms:
Ta 0.000 0.000 0.000
Os 0.667 0.333 0.276
Se 0.333 0.667 0.687